First-principles (GGA-PBEsol) data for an optimized crystal structure of CaNbIO2, as listed in Alexandria.

## Properties
Fermi-level density of states (states/eV per atom): 1.15
Energy relative to the elements, uncorrected (eV per atom): -0.04
Total magnetization (μB per atom): 0.796

Unit cell a=4.2631 b=4.2631 c=5.7770 alpha=90.00 beta=90.00 gamma=90.00
Sites, in units of the cell vectors:
Ca 0.0000 0.0000 0.0000
Nb 0.5000 0.5000 0.5000
I 0.0000 0.0000 0.5000
O 0.0000 0.5000 0.0000
O 0.5000 0.0000 0.0000